A plane-wave DFT calculation with GGA-PBEsol was carried out for an optimized crystal structure of Li2AlNiO4.

```
data_Li2AlNiO4
_space_group_name_H-M_alt 'P 1'
_space_group_IT_number 1
_space_group_name_Hall 'P 1'
_cell_length_a 6.096
_cell_length_b 5.475
_cell_length_c 4.910
_cell_angle_alpha 90.00
_cell_angle_beta 90.00
_cell_angle_gamma 90.00
loop_
_atom_site_label
_atom_site_type_symbol
_atom_site_fract_x
_atom_site_fract_y
_atom_site_fract_z
_atom_site_occupancy
Li1 Li 0.249 0.165 0.000 1
Li2 Li 0.251 0.835 0.500 1
Li3 Li 0.749 0.835 0.500 1
Li4 Li 0.751 0.165 0.000 1
Al1 Al 0.000 0.662 0.995 1
Al2 Al 0.500 0.338 0.495 1
Ni1 Ni 0.000 0.332 0.497 1
Ni2 Ni 0.500 0.668 0.997 1
O1 O 0.000 0.358 0.119 1
O2 O 0.000 0.648 0.632 1
O3 O 0.240 0.821 0.100 1
O4 O 0.260 0.179 0.600 1
O5 O 0.500 0.352 0.132 1
O6 O 0.500 0.642 0.619 1
O7 O 0.740 0.179 0.600 1
O8 O 0.760 0.821 0.100 1
```

Output
raw formation energy: -14.90 eV/f.u.
mass density: 3.31 Mg/m³
V: 163.9 Å³ per cell
D(E_F): 0.043 states/eV/atom